Entry from Alexandria via LeMat-Bulk: a relaxed structure of CrPPb (GGA-PBE).

- Formation energy from the elements: 0.677 eV per formula unit
- Magnetization: 1.1 μB/f.u.
- Distance to the lowest polymorph of the same formula: 0.129 eV per atom

a b c (Å): 3.2467 3.2467 6.2317
angles (deg): 90.00 90.00 120.00
Space group P3m1 (No. 156)
Asymmetric unit:
Cr  0.0000  0.0000  0.0000 [1 per cell]
P  0.6667  0.3333  0.2081 [1 per cell]
Pb  0.3333  0.6667  0.6323 [1 per cell]